# 1
# TaMnFe2 PBE relaxed
# * energy: -38.11 eV for the cell shown
# * Fermi-level density of states: 1.13 states/eV per atom
# * SG: F-43m
# * ΔE_f: -0.91 kcal/mol of atoms
data_TaMnFe2
_chemical_formula_sum 'Ta1 Mn1 Fe2'
_cell_length_a 4.1863
_cell_length_b 4.1863
_cell_length_c 4.1863
_cell_angle_alpha 60.00
_cell_angle_beta 60.00
_cell_angle_gamma 60.00
_space_group_name_H-M_alt 'P 1'
_space_group_IT_number 1
loop_
_space_group_symop_operation_xyz
'x,y,z'
loop_
_atom_site_label
_atom_site_fract_x
_atom_site_fract_y
_atom_site_fract_z
Fe1 0.0000 0.0000 0.0000
Mn1 0.5000 0.5000 0.5000
Ta1 0.2500 0.2500 0.2500
Fe2 0.7500 0.7500 0.7500

# 2
# Ta2MnFe PBE relaxed
# * energy: -40.96 eV for the cell shown
# * Fermi-level density of states: 1.16 states/eV per atom
# * SG: Cmm2
# * ΔE_f: 2.17 kcal/mol of atoms
data_Ta2MnFe
_chemical_formula_sum 'Ta2 Mn1 Fe1'
_cell_length_a 2.8373
_cell_length_b 2.8373
_cell_length_c 7.3620
_cell_angle_alpha 90.00
_cell_angle_beta 90.00
_cell_angle_gamma 97.54
_space_group_name_H-M_alt 'P 1'
_space_group_IT_number 1
loop_
_space_group_symop_operation_xyz
'x,y,z'
loop_
_atom_site_label
_atom_site_fract_x
_atom_site_fract_y
_atom_site_fract_z
Ta1 0.5000 0.5000 0.2821
Mn1 0.5000 0.5000 0.7096
Fe1 0.0000 0.0000 0.5407
Ta2 0.0000 0.0000 0.9676

# 3
# Ta3MnFe PBE relaxed
# * energy: -47.29 eV for the cell shown
# * Fermi-level density of states: 1.94 states/eV per atom
# * SG: Pm-3m
# * ΔE_f: 27.21 kcal/mol of atoms
# * E above lowest polymorph: 0.068 eV per atom
data_Ta3MnFe
_chemical_formula_sum 'Ta3 Mn1 Fe1'
_cell_length_a 4.5169
_cell_length_b 4.5169
_cell_length_c 4.5169
_cell_angle_alpha 90.00
_cell_angle_beta 90.00
_cell_angle_gamma 90.00
_space_group_name_H-M_alt 'P 1'
_space_group_IT_number 1
loop_
_space_group_symop_operation_xyz
'x,y,z'
loop_
_atom_site_label
_atom_site_fract_x
_atom_site_fract_y
_atom_site_fract_z
Ta1 0.0000 0.5000 0.0000
Mn1 0.0000 0.0000 0.0000
Fe1 0.5000 0.5000 0.5000
Ta2 0.5000 0.0000 0.0000
Ta3 0.0000 0.0000 0.5000

# 4
# Ta2MnFe PBE relaxed
# * energy: -41.39 eV for the cell shown
# * Fermi-level density of states: 1.11 states/eV per atom
# * SG: P4mm
# * ΔE_f: -0.33 kcal/mol of atoms
data_Ta2MnFe
_chemical_formula_sum 'Ta2 Mn1 Fe1'
_cell_length_a 3.1252
_cell_length_b 3.1252
_cell_length_c 6.0923
_cell_angle_alpha 90.00
_cell_angle_beta 90.00
_cell_angle_gamma 90.00
_space_group_name_H-M_alt 'P 1'
_space_group_IT_number 1
loop_
_space_group_symop_operation_xyz
'x,y,z'
loop_
_atom_site_label
_atom_site_fract_x
_atom_site_fract_y
_atom_site_fract_z
Ta1 0.0000 0.0000 0.9751
Ta2 0.5000 0.5000 0.2775
Fe1 0.0000 0.0000 0.5085
Mn1 0.5000 0.5000 0.7390

# 5
# Ta2Mn3Fe PBE relaxed
# * energy: -60.91 eV for the cell shown
# * Fermi-level density of states: 1.44 states/eV per atom
# * SG: R-3m
# * ΔE_f: -4.73 kcal/mol of atoms
data_Ta2Mn3Fe
_chemical_formula_sum 'Ta2 Mn3 Fe1'
_cell_length_a 4.7730
_cell_length_b 4.7730
_cell_length_c 4.8435
_cell_angle_alpha 89.99
_cell_angle_beta 119.53
_cell_angle_gamma 120.00
_space_group_name_H-M_alt 'P 1'
_space_group_IT_number 1
loop_
_space_group_symop_operation_xyz
'x,y,z'
loop_
_atom_site_label
_atom_site_fract_x
_atom_site_fract_y
_atom_site_fract_z
Ta1 0.2475 0.6238 0.8713
Mn1 0.5000 0.5000 0.5000
Mn2 0.0000 0.0000 0.5000
Ta2 0.7525 0.3762 0.1287
Mn3 0.5000 0.0000 0.5000
Fe1 0.0000 0.0000 0.0000

# 6
# Ta2MnFe PBE relaxed
# * energy: -41.05 eV for the cell shown
# * Fermi-level density of states: 1.04 states/eV per atom
# * SG: I-4m2
# * ΔE_f: 1.67 kcal/mol of atoms
data_Ta2MnFe
_chemical_formula_sum 'Ta2 Mn1 Fe1'
_cell_length_a 5.1462
_cell_length_b 5.1462
_cell_length_c 5.1462
_cell_angle_alpha 138.66
_cell_angle_beta 138.66
_cell_angle_gamma 59.90
_space_group_name_H-M_alt 'P 1'
_space_group_IT_number 1
loop_
_space_group_symop_operation_xyz
'x,y,z'
loop_
_atom_site_label
_atom_site_fract_x
_atom_site_fract_y
_atom_site_fract_z
Ta1 0.0000 0.0000 0.0000
Fe1 0.5000 0.5000 0.0000
Ta2 0.2500 0.7500 0.5000
Mn1 0.7500 0.2500 0.5000

# 7
# Ta2MnFe PBE relaxed
# * energy: -41.16 eV for the cell shown
# * Fermi-level density of states: 0.95 states/eV per atom
# * SG: Pm
# * ΔE_f: 1.02 kcal/mol of atoms
data_Ta2MnFe
_chemical_formula_sum 'Ta2 Mn1 Fe1'
_cell_length_a 4.3896
_cell_length_b 2.8402
_cell_length_c 4.8138
_cell_angle_alpha 80.10
_cell_angle_beta 90.00
_cell_angle_gamma 90.00
_space_group_name_H-M_alt 'P 1'
_space_group_IT_number 1
loop_
_space_group_symop_operation_xyz
'x,y,z'
loop_
_atom_site_label
_atom_site_fract_x
_atom_site_fract_y
_atom_site_fract_z
Fe1 0.0000 0.5511 0.4767
Mn1 0.5000 0.6981 0.7743
Ta1 0.0000 0.9921 0.9658
Ta2 0.5000 0.2587 0.2832

# 8
# TaMnFe2 PBE relaxed
# * energy: -36.66 eV for the cell shown
# * Fermi-level density of states: 1.32 states/eV per atom
# * SG: R-3m
# * ΔE_f: 7.41 kcal/mol of atoms
data_TaMnFe2
_chemical_formula_sum 'Ta1 Mn1 Fe2'
_cell_length_a 8.3365
_cell_length_b 8.3365
_cell_length_c 8.3365
_cell_angle_alpha 18.81
_cell_angle_beta 18.81
_cell_angle_gamma 18.81
_space_group_name_H-M_alt 'P 1'
_space_group_IT_number 1
loop_
_space_group_symop_operation_xyz
'x,y,z'
loop_
_atom_site_label
_atom_site_fract_x
_atom_site_fract_y
_atom_site_fract_z
Fe1 0.9922 0.9922 0.9922
Mn1 0.2500 0.2500 0.2500
Fe2 0.5078 0.5078 0.5078
Ta1 0.7500 0.7500 0.7500

# 9
# Ta5MnFe4 PBE relaxed
# * energy: -103.99 eV for the cell shown
# * Fermi-level density of states: 0.78 states/eV per atom
# * SG: P4/mmm
# * ΔE_f: -3.93 kcal/mol of atoms
data_Ta5MnFe4
_chemical_formula_sum 'Ta5 Mn1 Fe4'
_cell_length_a 3.0617
_cell_length_b 3.0617
_cell_length_c 15.3373
_cell_angle_alpha 90.00
_cell_angle_beta 90.00
_cell_angle_gamma 90.00
_space_group_name_H-M_alt 'P 1'
_space_group_IT_number 1
loop_
_space_group_symop_operation_xyz
'x,y,z'
loop_
_atom_site_label
_atom_site_fract_x
_atom_site_fract_y
_atom_site_fract_z
Mn1 0.0000 0.0000 0.0000
Ta1 0.5000 0.5000 0.5000
Ta2 0.5000 0.5000 0.2999
Ta3 0.5000 0.5000 0.0995
Fe1 0.0000 0.0000 0.3993
Fe2 0.0000 0.0000 0.6007
Fe3 0.0000 0.0000 0.1988
Fe4 0.0000 0.0000 0.8012
Ta4 0.5000 0.5000 0.9005
Ta5 0.5000 0.5000 0.7001

# 10
# TaMnFe2 PBE relaxed
# * energy: -38.04 eV for the cell shown
# * Fermi-level density of states: 0.81 states/eV per atom
# * SG: P4mm
# * ΔE_f: -0.54 kcal/mol of atoms
data_TaMnFe2
_chemical_formula_sum 'Ta1 Mn1 Fe2'
_cell_length_a 3.0202
_cell_length_b 3.0202
_cell_length_c 5.7032
_cell_angle_alpha 90.00
_cell_angle_beta 90.00
_cell_angle_gamma 90.00
_space_group_name_H-M_alt 'P 1'
_space_group_IT_number 1
loop_
_space_group_symop_operation_xyz
'x,y,z'
loop_
_atom_site_label
_atom_site_fract_x
_atom_site_fract_y
_atom_site_fract_z
Fe1 0.0000 0.0000 0.0162
Ta1 0.5000 0.5000 0.7489
Fe2 0.5000 0.5000 0.2486
Mn1 0.0000 0.0000 0.4863

# 11
# TaMn3Fe PBE relaxed
# * energy: -42.95 eV for the cell shown
# * Fermi-level density of states: 1.28 states/eV per atom
# * SG: Pm-3m
# * ΔE_f: 22.49 kcal/mol of atoms
# * E above lowest polymorph: 0.000 eV per atom
data_TaMn3Fe
_chemical_formula_sum 'Ta1 Mn3 Fe1'
_cell_length_a 4.1710
_cell_length_b 4.1710
_cell_length_c 4.1710
_cell_angle_alpha 90.00
_cell_angle_beta 90.00
_cell_angle_gamma 90.00
_space_group_name_H-M_alt 'P 1'
_space_group_IT_number 1
loop_
_space_group_symop_operation_xyz
'x,y,z'
loop_
_atom_site_label
_atom_site_fract_x
_atom_site_fract_y
_atom_site_fract_z
Fe1 0.0000 0.0000 0.0000
Mn1 0.5000 0.0000 0.0000
Mn2 0.0000 0.5000 0.0000
Mn3 0.0000 0.0000 0.5000
Ta1 0.5000 0.5000 0.5000

# 12
# Ta4MnFe PBE relaxed
# * energy: -61.31 eV for the cell shown
# * Fermi-level density of states: 1.12 states/eV per atom
# * SG: F-43m
# * ΔE_f: 14.36 kcal/mol of atoms
data_Ta4MnFe
_chemical_formula_sum 'Ta4 Mn1 Fe1'
_cell_length_a 5.3526
_cell_length_b 5.3526
_cell_length_c 5.3526
_cell_angle_alpha 60.00
_cell_angle_beta 60.00
_cell_angle_gamma 60.00
_space_group_name_H-M_alt 'P 1'
_space_group_IT_number 1
loop_
_space_group_symop_operation_xyz
'x,y,z'
loop_
_atom_site_label
_atom_site_fract_x
_atom_site_fract_y
_atom_site_fract_z
Ta1 0.3749 0.8754 0.3749
Ta2 0.3749 0.3749 0.8754
Fe1 0.7500 0.7500 0.7500
Ta3 0.3749 0.3749 0.3749
Mn1 0.0000 0.0000 0.0000
Ta4 0.8754 0.3749 0.3749

# 13
# Ta2MnFe PBE relaxed
# * energy: -38.10 eV for the cell shown
# * Fermi-level density of states: 1.06 states/eV per atom
# * SG: Immm
# * ΔE_f: 18.68 kcal/mol of atoms
data_Ta2MnFe
_chemical_formula_sum 'Ta2 Mn1 Fe1'
_cell_length_a 5.7110
_cell_length_b 5.7110
_cell_length_c 5.7110
_cell_angle_alpha 57.80
_cell_angle_beta 151.72
_cell_angle_gamma 130.72
_space_group_name_H-M_alt 'P 1'
_space_group_IT_number 1
loop_
_space_group_symop_operation_xyz
'x,y,z'
loop_
_atom_site_label
_atom_site_fract_x
_atom_site_fract_y
_atom_site_fract_z
Ta1 0.0000 0.7308 0.7308
Fe1 0.0000 0.5000 0.5000
Mn1 0.0000 0.0000 0.0000
Ta2 0.0000 0.2692 0.2692

# 14
# TaMnFe2 PBE relaxed
# * energy: -37.69 eV for the cell shown
# * Fermi-level density of states: 0.94 states/eV per atom
# * SG: Pm
# * ΔE_f: 1.46 kcal/mol of atoms
data_TaMnFe2
_chemical_formula_sum 'Ta1 Mn1 Fe2'
_cell_length_a 4.0874
_cell_length_b 2.6419
_cell_length_c 4.9220
_cell_angle_alpha 79.40
_cell_angle_beta 90.00
_cell_angle_gamma 90.00
_space_group_name_H-M_alt 'P 1'
_space_group_IT_number 1
loop_
_space_group_symop_operation_xyz
'x,y,z'
loop_
_atom_site_label
_atom_site_fract_x
_atom_site_fract_y
_atom_site_fract_z
Ta1 0.5000 0.7489 0.7510
Mn1 0.0000 0.4962 0.4816
Fe1 0.0000 0.0094 0.0168
Fe2 0.5000 0.2455 0.2507

# 15
# TaMnFe2 PBE relaxed
# * energy: -36.72 eV for the cell shown
# * Fermi-level density of states: 1.15 states/eV per atom
# * SG: R3m
# * ΔE_f: 7.09 kcal/mol of atoms
data_TaMnFe2
_chemical_formula_sum 'Ta1 Mn1 Fe2'
_cell_length_a 8.8270
_cell_length_b 8.8270
_cell_length_c 8.8270
_cell_angle_alpha 17.37
_cell_angle_beta 17.37
_cell_angle_gamma 17.37
_space_group_name_H-M_alt 'P 1'
_space_group_IT_number 1
loop_
_space_group_symop_operation_xyz
'x,y,z'
loop_
_atom_site_label
_atom_site_fract_x
_atom_site_fract_y
_atom_site_fract_z
Fe1 0.2481 0.2481 0.2481
Mn1 0.5084 0.5084 0.5084
Ta1 0.7501 0.7501 0.7501
Fe2 0.9934 0.9934 0.9934